No. 1
A geometry-optimized AsIrOs2 structure. Source: Alexandria, functional PBE.

The structure in CIF format:
```
data_AsIrOs2
_chemical_formula_sum 'As4 Ir4 Os8'
_cell_length_a 5.566
_cell_length_b 5.566
_cell_length_c 11.025
_cell_angle_alpha 90.00
_cell_angle_beta 90.00
_cell_angle_gamma 90.00
_space_group_name_H-M_alt 'I -4 2 d'
_space_group_IT_number 122
_space_group_name_Hall 'I -4 2bw'
loop_
_atom_site_label
_atom_site_fract_x
_atom_site_fract_y
_atom_site_fract_z
As1 0.000 0.000 0.000
Ir1 0.000 0.000 0.500
Os1 0.248 0.250 0.625
```

Results
total magnetic moment: 0.00 μB per formula unit
theoretical density: 12594 kg/m³
formation energy: 896.0 meV per atom

No. 2
A geometry-optimized TbNd5Sn3 structure. Source: Alexandria, functional PBE.

The structure in CIF format:
```
data_TbNd5Sn3
_chemical_formula_sum 'Tb2 Nd10 Sn6'
_cell_length_a 9.6210
_cell_length_b 9.6210
_cell_length_c 6.7514
_cell_angle_alpha 90.00
_cell_angle_beta 90.00
_cell_angle_gamma 120.00
_space_group_name_H-M_alt 'P 63/m c m'
_space_group_IT_number 193
_space_group_name_Hall '-P 6c 2'
loop_
_atom_site_label
_atom_site_fract_x
_atom_site_fract_y
_atom_site_fract_z
Tb1 0.0000 0.0000 0.0000
Nd1 0.0000 0.3326 0.2500
Nd2 0.3333 0.6667 0.0000
Sn1 0.0000 0.3317 0.7500
```

Results
total magnetic moment: 2.78 μB per formula unit
theoretical density: 7586 kg/m³
formation energy: -564.0 meV per atom

No. 3
A geometry-optimized Zn3Ag6Au structure. Source: Alexandria, functional PBE.

The structure in CIF format:
```
data_Zn3Ag6Au
_chemical_formula_sum 'Zn6 Ag12 Au2'
_cell_length_a 4.753
_cell_length_b 7.632
_cell_length_c 9.821
_cell_angle_alpha 71.84
_cell_angle_beta 89.65
_cell_angle_gamma 89.67
_space_group_name_H-M_alt 'P -1'
_space_group_IT_number 2
_space_group_name_Hall '-P 1'
loop_
_atom_site_label
_atom_site_fract_x
_atom_site_fract_y
_atom_site_fract_z
Zn1 0.187 0.054 0.097
Zn2 0.193 0.841 0.704
Zn3 0.197 0.257 0.502
Ag1 0.188 0.654 0.300
Ag2 0.289 0.957 0.407
Ag3 0.305 0.337 0.207
Ag4 0.307 0.558 0.597
Ag5 0.308 0.763 0.996
Ag6 0.310 0.135 0.797
Au1 0.193 0.448 0.900
```

Results
total magnetic moment: 0.00 μB per formula unit
polymorph energy (0 for the lowest one): 0.000 eV per atom
theoretical density: 10209 kg/m³
formation energy: -29.6 meV per atom

No. 4
A geometry-optimized MgZr2S4 structure. Source: Alexandria, functional PBE.

The structure in CIF format:
```
data_MgZr2S4
_chemical_formula_sum 'Mg1 Zr2 S4'
_cell_length_a 6.191
_cell_length_b 3.607
_cell_length_c 6.386
_cell_angle_alpha 90.00
_cell_angle_beta 90.88
_cell_angle_gamma 90.00
_space_group_name_H-M_alt 'P 1 2/m 1'
_space_group_IT_number 10
_space_group_name_Hall '-P 2y'
loop_
_atom_site_label
_atom_site_fract_x
_atom_site_fract_y
_atom_site_fract_z
Mg1 0.000 0.000 0.000
Zr1 0.000 0.000 0.500
Zr2 0.500 0.500 0.500
S1 0.170 0.500 0.756
S2 0.331 0.000 0.255
```

Results
total magnetic moment: 0.00 μB per formula unit
ΔE_f (raw): -1503 meV per atom
polymorph energy (0 for the lowest one): 0.000 eV per atom
theoretical density: 3902 kg/m³

No. 5
A geometry-optimized SnBO2F structure. Source: Alexandria, functional PBE.

The structure in CIF format:
```
data_SnBO2F
_chemical_formula_sum 'Sn1 B1 O2 F1'
_cell_length_a 4.530
_cell_length_b 4.530
_cell_length_c 2.896
_cell_angle_alpha 90.00
_cell_angle_beta 90.00
_cell_angle_gamma 90.00
_space_group_name_H-M_alt 'P 4/m m m'
_space_group_IT_number 123
_space_group_name_Hall '-P 4 2'
loop_
_atom_site_label
_atom_site_fract_x
_atom_site_fract_y
_atom_site_fract_z
Sn1 0.000 0.000 0.000
B1 0.500 0.500 0.000
O1 0.000 0.500 0.500
F1 0.500 0.500 0.500
```

Results
total magnetic moment: 0.00 μB per formula unit
ΔE_f (raw): 558 meV per atom
theoretical density: 5043 kg/m³

No. 6
A geometry-optimized Zr2CoHOs structure. Source: Alexandria, functional PBE.

The structure in CIF format:
```
data_Zr2CoHOs
_chemical_formula_sum 'Zr2 Co1 H1 Os1'
_cell_length_a 4.576
_cell_length_b 4.576
_cell_length_c 3.361
_cell_angle_alpha 90.00
_cell_angle_beta 90.00
_cell_angle_gamma 90.00
_space_group_name_H-M_alt 'P 4/m m m'
_space_group_IT_number 123
_space_group_name_Hall '-P 4 2'
loop_
_atom_site_label
_atom_site_fract_x
_atom_site_fract_y
_atom_site_fract_z
Zr1 0.000 0.500 0.000
Co1 0.000 0.000 0.500
H1 0.000 0.000 0.000
Os1 0.500 0.500 0.500
```

Results
total magnetic moment: 0.71 μB per formula unit
polymorph energy (0 for the lowest one): 0.000 eV per atom
theoretical density: 10207 kg/m³

Question: Look up the total magnetic moment of the fifth one.
Answer: 0.00 μB per formula unit